Entry 1:
# LaNi2C

LaNi2C after structural relaxation (PBE-GGA, the Alexandria database).

Structure (CIF):
```
data_LaNi2C
_symmetry_space_group_name_H-M 'I 41/a m d'
_symmetry_Int_Tables_number 141
_cell_length_a 4.518
_cell_length_b 4.518
_cell_length_c 12.685
_cell_angle_alpha 90.00
_cell_angle_beta 90.00
_cell_angle_gamma 90.00
loop_
_symmetry_equiv_pos_as_xyz
'x,y,z'
'-x,-y,-z'
'-y+1/4,x+3/4,z+1/4'
'y+1/4,-x+3/4,-z+1/4'
'-x+1/2,-y,z+1/2'
'x+1/2,y,-z+1/2'
'y+1/4,-x+1/4,z+3/4'
'-y+1/4,x+1/4,-z+3/4'
'x,-y,-z'
'-x,y,z'
'-y+1/4,-x+1/4,-z+3/4'
'y+1/4,x+1/4,z+3/4'
'-x+1/2,y,-z+1/2'
'x+1/2,-y,z+1/2'
'y+1/4,x+3/4,-z+1/4'
'-y+1/4,-x+3/4,z+1/4'
'x+1/2,y+1/2,z+1/2'
'-x+1/2,-y+1/2,-z+1/2'
'-y+3/4,x+1/4,z+3/4'
'y+3/4,-x+1/4,-z+3/4'
'-x,-y+1/2,z'
'x,y+1/2,-z'
'y+3/4,-x+3/4,z+1/4'
'-y+3/4,x+3/4,-z+1/4'
'x+1/2,-y+1/2,-z+1/2'
'-x+1/2,y+1/2,z+1/2'
'-y+3/4,-x+3/4,-z+1/4'
'y+3/4,x+3/4,z+1/4'
'-x,y+1/2,-z'
'x,-y+1/2,z'
'y+3/4,x+1/4,-z+3/4'
'-y+3/4,-x+1/4,z+3/4'
loop_
_atom_site_label
_atom_site_type_symbol
_atom_site_fract_x
_atom_site_fract_y
_atom_site_fract_z
La1 La 0.000 0.250 0.375
Ni1 Ni 0.000 0.000 0.000
C1 C 0.000 0.250 0.875
```

Values from the calculation:
Its total energy is -6.443 eV/atom. As for the formation energy: -15 meV per atom. The value obtained for the volume is 258.90 Å³ per cell.


Entry 2:
# LaNiC

LaNiC after structural relaxation (PBE-GGA, the Alexandria database).

Structure (CIF):
```
data_LaNiC
_symmetry_space_group_name_H-M 'C m m m'
_symmetry_Int_Tables_number 65
_symmetry_space_group_name_Hall '-C 2 2'
_cell_length_a 4.478
_cell_length_b 12.584
_cell_length_c 3.699
_cell_angle_alpha 90.00
_cell_angle_beta 90.00
_cell_angle_gamma 90.00
loop_
_atom_site_label
_atom_site_type_symbol
_atom_site_fract_x
_atom_site_fract_y
_atom_site_fract_z
La1 La 0.000 0.153 0.000
Ni1 Ni 0.000 0.406 0.500
C1 C 0.152 0.000 0.500
```

Values from the calculation:
Its total energy is -6.765 eV/atom. For the distance to the lowest polymorph of the same formula, the calculation gives 101.2 meV/atom. As for the formation energy: -121 meV per atom. The value obtained for the volume is 208.40 Å³ per cell.


Entry 3:
# La2Ni5C3

La2Ni5C3 after structural relaxation (PBE-GGA, the Alexandria database).

Structure (CIF):
```
data_La2Ni5C3
_symmetry_space_group_name_H-M 'P 4/m b m'
_symmetry_Int_Tables_number 127
_symmetry_space_group_name_Hall '-P 4 2ab'
_cell_length_a 8.326
_cell_length_b 8.326
_cell_length_c 4.023
_cell_angle_alpha 90.00
_cell_angle_beta 90.00
_cell_angle_gamma 90.00
loop_
_atom_site_label
_atom_site_type_symbol
_atom_site_fract_x
_atom_site_fract_y
_atom_site_fract_z
La1 La 0.161 0.339 0.000
Ni1 Ni 0.000 0.000 0.000
Ni2 Ni 0.075 0.787 0.500
C1 C 0.000 0.000 0.500
C2 C 0.058 0.558 0.500
```

Values from the calculation:
Its total energy is -6.944 eV/atom. As for the formation energy: -301 meV per atom. The value obtained for the volume is 278.88 Å³ per cell.


Entry 4:
# La12Ni3C5

La12Ni3C5 after structural relaxation (PBE-GGA, the Alexandria database).

Structure (CIF):
```
data_La12Ni3C5
_symmetry_space_group_name_H-M 'I a -3 d'
_symmetry_Int_Tables_number 230
_symmetry_space_group_name_Hall '-I 4bd 2c 3'
_cell_length_a 16.133
_cell_length_b 16.133
_cell_length_c 16.133
_cell_angle_alpha 90.00
_cell_angle_beta 90.00
_cell_angle_gamma 90.00
loop_
_atom_site_label
_atom_site_type_symbol
_atom_site_fract_x
_atom_site_fract_y
_atom_site_fract_z
La1 La 0.028 0.057 0.651
Ni1 Ni 0.000 0.250 0.125
C1 C 0.000 0.000 0.000
C2 C 0.000 0.250 0.375
```

Values from the calculation:
Its total energy is -6.117 eV/atom. As for the formation energy: 13 meV per atom. The value obtained for the volume is 4199.23 Å³ per cell.


Entry 5:
# LaNi6C

LaNi6C after structural relaxation (PBE-GGA, the Alexandria database).

Structure (CIF):
```
data_LaNi6C
_symmetry_space_group_name_H-M 'R -3 m'
_symmetry_Int_Tables_number 166
_symmetry_space_group_name_Hall '-R 3 2"'
_cell_length_a 5.2351
_cell_length_b 5.2351
_cell_length_c 13.3770
_cell_angle_alpha 90.00
_cell_angle_beta 90.00
_cell_angle_gamma 120.00
loop_
_atom_site_label
_atom_site_type_symbol
_atom_site_fract_x
_atom_site_fract_y
_atom_site_fract_z
La1 La 0.0000 0.0000 0.0000
Ni1 Ni 0.0160 0.5080 0.9093
C1 C 0.0000 0.0000 0.5000
```

Values from the calculation:
Its total energy is -6.151 eV/atom. As for the formation energy: -46 meV per atom. The value obtained for the volume is 317.50 Å³ per cell.


Entry 6:
# La3NiC

La3NiC after structural relaxation (PBE-GGA, the Alexandria database).

Structure (CIF):
```
data_La3NiC
_symmetry_space_group_name_H-M 'P m -3 m'
_symmetry_Int_Tables_number 221
_symmetry_space_group_name_Hall '-P 4 2 3'
_cell_length_a 5.114
_cell_length_b 5.114
_cell_length_c 5.114
_cell_angle_alpha 90.00
_cell_angle_beta 90.00
_cell_angle_gamma 90.00
loop_
_atom_site_label
_atom_site_type_symbol
_atom_site_fract_x
_atom_site_fract_y
_atom_site_fract_z
La1 La 0.000 0.000 0.500
Ni1 Ni 0.500 0.500 0.500
C1 C 0.000 0.000 0.000
```

Values from the calculation:
Its total energy is -5.819 eV/atom. For the distance to the lowest polymorph of the same formula, the calculation gives 0.0 meV/atom. As for the formation energy: 138 meV per atom. The value obtained for the volume is 133.76 Å³ per cell.


Entry 7:
# La2NiC

La2NiC after structural relaxation (PBE-GGA, the Alexandria database).

Structure (CIF):
```
data_La2NiC
_symmetry_space_group_name_H-M 'I -4 2 d'
_symmetry_Int_Tables_number 122
_symmetry_space_group_name_Hall 'I -4 2bw'
_cell_length_a 6.921
_cell_length_b 6.921
_cell_length_c 7.974
_cell_angle_alpha 90.00
_cell_angle_beta 90.00
_cell_angle_gamma 90.00
loop_
_atom_site_label
_atom_site_type_symbol
_atom_site_fract_x
_atom_site_fract_y
_atom_site_fract_z
La1 La 0.206 0.250 0.125
Ni1 Ni 0.000 0.000 0.500
C1 C 0.000 0.000 0.000
```

Values from the calculation:
Its total energy is -6.078 eV/atom. As for the formation energy: 137 meV per atom. The value obtained for the volume is 381.94 Å³ per cell.


Entry 8:
# La2Ni5C

La2Ni5C after structural relaxation (PBE-GGA, the Alexandria database).

Structure (CIF):
```
data_La2Ni5C
_symmetry_space_group_name_H-M 'I 4 m m'
_symmetry_Int_Tables_number 107
_symmetry_space_group_name_Hall 'I 4 -2'
_cell_length_a 5.236
_cell_length_b 5.236
_cell_length_c 9.201
_cell_angle_alpha 90.00
_cell_angle_beta 90.00
_cell_angle_gamma 90.00
loop_
_atom_site_label
_atom_site_type_symbol
_atom_site_fract_x
_atom_site_fract_y
_atom_site_fract_z
La1 La 0.000 0.500 0.000
Ni1 Ni 0.000 0.000 0.076
Ni2 Ni 0.247 0.247 0.757
C1 C 0.000 0.000 0.847
```

Values from the calculation:
Its total energy is -6.130 eV/atom. As for the formation energy: -132 meV per atom. The value obtained for the volume is 252.27 Å³ per cell.


Entry 9:
# LaNiC

LaNiC after structural relaxation (PBE-GGA, the Alexandria database).

Structure (CIF):
```
data_LaNiC
_symmetry_space_group_name_H-M 'P -1'
_symmetry_Int_Tables_number 2
_cell_length_a 4.015
_cell_length_b 4.314
_cell_length_c 6.380
_cell_angle_alpha 95.18
_cell_angle_beta 100.98
_cell_angle_gamma 100.29
loop_
_symmetry_equiv_pos_as_xyz
'x,y,z'
'-x,-y,-z'
loop_
_atom_site_label
_atom_site_type_symbol
_atom_site_fract_x
_atom_site_fract_y
_atom_site_fract_z
La1 La 0.060 0.279 0.257
Ni1 Ni 0.475 0.266 0.861
C1 C 0.490 0.085 0.589
```

Values from the calculation:
Its total energy is -6.866 eV/atom. For the distance to the lowest polymorph of the same formula, the calculation gives 0.0 meV/atom. As for the formation energy: -222 meV per atom. The value obtained for the volume is 105.87 Å³ per cell.


Entry 10:
# La2Ni4C

La2Ni4C after structural relaxation (PBE-GGA, the Alexandria database).

Structure (CIF):
```
data_La2Ni4C
_symmetry_space_group_name_H-M 'I 4/m m m'
_symmetry_Int_Tables_number 139
_symmetry_space_group_name_Hall '-I 4 2'
_cell_length_a 5.167
_cell_length_b 5.167
_cell_length_c 9.046
_cell_angle_alpha 90.00
_cell_angle_beta 90.00
_cell_angle_gamma 90.00
loop_
_atom_site_label
_atom_site_type_symbol
_atom_site_fract_x
_atom_site_fract_y
_atom_site_fract_z
La1 La 0.000 0.500 0.250
Ni1 Ni 0.241 0.241 0.000
C1 C 0.000 0.000 0.500
```

Values from the calculation:
Its total energy is -6.096 eV/atom. For the distance to the lowest polymorph of the same formula, the calculation gives 122.2 meV/atom. As for the formation energy: -67 meV per atom. The value obtained for the volume is 241.56 Å³ per cell.


Entry 11:
# LaNi3C

LaNi3C after structural relaxation (PBE-GGA, the Alexandria database).

Structure (CIF):
```
data_LaNi3C
_symmetry_space_group_name_H-M 'P m -3 m'
_symmetry_Int_Tables_number 221
_symmetry_space_group_name_Hall '-P 4 2 3'
_cell_length_a 4.641
_cell_length_b 4.641
_cell_length_c 4.641
_cell_angle_alpha 90.00
_cell_angle_beta 90.00
_cell_angle_gamma 90.00
loop_
_atom_site_label
_atom_site_type_symbol
_atom_site_fract_x
_atom_site_fract_y
_atom_site_fract_z
La1 La 0.000 0.000 0.000
Ni1 Ni 0.000 0.000 0.500
C1 C 0.500 0.500 0.500
```

Values from the calculation:
Its total energy is -3.789 eV/atom. For the distance to the lowest polymorph of the same formula, the calculation gives 2537.7 meV/atom. As for the formation energy: 2511 meV per atom. The value obtained for the volume is 99.96 Å³ per cell.


Entry 12:
# La2Ni3C

La2Ni3C after structural relaxation (PBE-GGA, the Alexandria database).

Structure (CIF):
```
data_La2Ni3C
_symmetry_space_group_name_H-M 'F m m m'
_symmetry_Int_Tables_number 69
_symmetry_space_group_name_Hall '-F 2 2'
_cell_length_a 7.313
_cell_length_b 8.268
_cell_length_c 13.897
_cell_angle_alpha 90.00
_cell_angle_beta 90.00
_cell_angle_gamma 90.00
loop_
_atom_site_label
_atom_site_type_symbol
_atom_site_fract_x
_atom_site_fract_y
_atom_site_fract_z
La1 La 0.000 0.218 0.000
La2 La 0.250 0.250 0.250
Ni1 Ni 0.000 0.000 0.171
Ni2 Ni 0.178 0.000 0.406
C1 C 0.000 0.000 0.308
```

Values from the calculation:
Its total energy is -6.279 eV/atom. As for the formation energy: -208 meV per atom. The value obtained for the volume is 840.24 Å³ per cell.